(1)
Hg2PW: relaxed, GGA-PBE.

POSCAR file:
```
Hg2PW
1.0
-1.2067 1.0958 -4.1617
0.7066 -1.3316 -4.2077
-5.9574 -4.6258 -3.6876
Hg P W
2 1 1
Direct
0.9954 0.9954 0.0469 Hg
0.6679 0.6679 0.7033 Hg
0.5628 0.5628 0.3750 P
0.2739 0.2739 0.3748 W
```

## Properties
formation energy: 0.298 eV/atom
ρ: 10.824 Mg/m³
E_tot: -4.4438 eV per atom

(2)
Hg2PW: relaxed, GGA-PBE.

POSCAR file:
```
Hg2PW
1.0
3.8426 0.0000 0.0000
0.0000 3.8426 0.0000
0.0000 0.0000 5.0224
Hg P W
2 1 1
Direct
0.0000 0.5000 0.0000 Hg
0.5000 0.0000 0.0000 Hg
0.5000 0.5000 0.5000 P
0.0000 0.0000 0.5000 W
```

## Properties
formation energy: 0.936 eV/atom
ρ: 13.793 Mg/m³
E_tot: -3.8058 eV per atom

(3)
Hg2PW: relaxed, GGA-PBE.

POSCAR file:
```
Hg2PW
1.0
1.6267 -2.3959 0.0000
1.6267 2.3959 0.0000
0.0000 0.0000 11.0695
Hg P W
2 1 1
Direct
0.0000 0.0000 0.0450 Hg
0.5000 0.5000 0.7428 Hg
0.0000 0.0000 0.4354 P
0.5000 0.5000 0.2768 W
```

## Properties
formation energy: 0.371 eV/atom
ρ: 11.855 Mg/m³
E_tot: -4.3705 eV per atom

(4)
Hg2PW: relaxed, GGA-PBE.

POSCAR file:
```
Hg2PW
1.0
-4.1762 -3.9779 -0.3973
5.6741 -1.0188 0.4342
0.0566 -0.9809 2.8207
Hg P W
2 1 1
Direct
0.0000 0.5000 0.0000 Hg
0.5000 0.0000 0.0000 Hg
0.0000 0.0000 0.5000 P
0.5000 0.5000 0.5000 W
```

## Properties
formation energy: 0.888 eV/atom
ρ: 13.463 Mg/m³
E_tot: -3.8538 eV per atom

(5)
Hg2PW: relaxed, GGA-PBE.

POSCAR file:
```
Hg2PW
1.0
5.4361 0.0000 0.0000
0.0000 3.0116 0.0003
0.0000 0.2415 4.8448
Hg P W
2 1 1
Direct
0.0000 0.2423 0.7474 Hg
0.0000 0.7577 0.2526 Hg
0.5000 0.5000 0.0000 P
0.5000 0.5000 0.5000 W
```

## Properties
formation energy: 0.768 eV/atom
ρ: 12.896 Mg/m³
E_tot: -3.9738 eV per atom

(6)
Hg2PW: relaxed, GGA-PBE.

POSCAR file:
```
Hg2PW
1.0
5.3884 -3.6343 -0.3876
1.1488 -5.7024 2.9250
-3.2662 3.9141 -4.0503
Hg P W
2 1 1
Direct
0.9481 0.9481 0.0000 Hg
0.2601 0.7601 0.5000 Hg
0.5686 0.5686 0.0000 P
0.7233 0.2233 0.5000 W
```

## Properties
formation energy: 0.487 eV/atom
ρ: 11.887 Mg/m³
E_tot: -4.2543 eV per atom

(7)
Hg2PW: relaxed, GGA-PBE.

POSCAR file:
```
Hg2PW
1.0
0.0000 3.3263 3.3263
3.3263 0.0000 3.3263
3.3263 3.3263 0.0000
Hg P W
2 1 1
Direct
0.0000 0.0000 0.0000 Hg
0.7500 0.7500 0.7500 Hg
0.5000 0.5000 0.5000 P
0.2500 0.2500 0.2500 W
```

## Properties
formation energy: 1.004 eV/atom
ρ: 13.896 Mg/m³
E_tot: -3.7375 eV per atom

(8)
Hg2PW: relaxed, GGA-PBE.

POSCAR file:
```
Hg2PW
1.0
9.2978 -1.5743 0.0071
9.2978 1.5743 0.0071
9.0292 0.0000 2.7206
Hg P W
2 1 1
Direct
0.9910 0.9910 0.9910 Hg
0.7558 0.7558 0.7558 Hg
0.5152 0.5152 0.5152 P
0.2380 0.2380 0.2380 W
```

## Properties
formation energy: 0.238 eV/atom
ρ: 12.876 Mg/m³
E_tot: -4.5036 eV per atom

(9)
Hg2PW: relaxed, GGA-PBE.

POSCAR file:
```
Hg2PW
1.0
3.1471 0.0000 0.0000
0.0000 3.1471 0.0000
0.0000 0.0000 7.8301
Hg P W
2 1 1
Direct
0.0000 0.0000 0.9634 Hg
0.5000 0.5000 0.2779 Hg
0.0000 0.0000 0.5604 P
0.5000 0.5000 0.6983 W
```

## Properties
formation energy: 0.265 eV/atom
ρ: 13.190 Mg/m³
E_tot: -4.4765 eV per atom

(10)
Hg2PW: relaxed, GGA-PBE.

POSCAR file:
```
Hg2PW
1.0
2.9659 0.0000 0.0000
0.0000 4.4986 0.0000
0.0000 0.0000 5.8028
Hg P W
2 1 1
Direct
0.0000 0.0000 0.0000 Hg
0.5000 0.5000 0.0000 Hg
0.5000 0.0000 0.5000 P
0.0000 0.5000 0.5000 W
```

## Properties
formation energy: 0.883 eV/atom
ρ: 13.211 Mg/m³
E_tot: -3.8584 eV per atom

(11)
Y2HgP: relaxed, GGA-PBE.

POSCAR file:
```
Y2HgP
1.0
-2.0941 2.0941 5.5002
2.0941 -2.0941 5.5002
2.0941 2.0941 -5.5002
Y Hg P
2 1 1
Direct
0.0000 0.0000 0.0000 Y
0.2500 0.7500 0.5000 Y
0.5000 0.5000 0.0000 Hg
0.7500 0.2500 0.5000 P
```

## Properties
ΔE to the lowest computed polymorph: 385 meV/atom
formation energy: -0.635 eV/atom
ρ: 7.046 Mg/m³
E_tot: -5.2946 eV per atom

(12)
YHgP4: relaxed, GGA-PBE.

POSCAR file:
```
YHgP4
1.0
0.0000 3.8186 3.8186
3.8186 0.0000 3.8186
3.8186 3.8186 0.0000
Y Hg P
1 1 4
Direct
0.7500 0.7500 0.7500 Y
0.0000 0.0000 0.0000 Hg
0.9051 0.3650 0.3650 P
0.3650 0.3650 0.9051 P
0.3650 0.9051 0.3650 P
0.3650 0.3650 0.3650 P
```

## Properties
formation energy: 0.015 eV/atom
ρ: 6.164 Mg/m³
E_tot: -4.7191 eV per atom